# LaTb2Sm3Tm6

A relaxed LaTb2Sm3Tm6 crystal (PBE, the Alexandria database).

Unit cell a=6.1710 b=6.1710 c=11.7081 alpha=95.02 beta=95.02 gamma=119.98
With the nearest neighbours (Å) after each atom.
Element x y z (fractional)
La 0.0000 0.0000 0.0000  6 Tm 3.55, 6 Tb 3.56
Tb 0.3333 0.6667 0.0000  6 Tm 3.54-3.55, 3 La 3.56, 3 Tb 3.56
Tb 0.6667 0.3333 0.0000  6 Tm 3.54-3.55, 3 La 3.56, 3 Tb 3.56
Sm 0.1669 0.8331 0.5000  6 Tm 3.53-3.54, 6 Sm 3.56-3.57
Sm 0.5000 0.5000 0.5000  6 Tm 3.53-3.54, 6 Sm 3.56-3.57
Sm 0.8331 0.1669 0.5000  6 Tm 3.53-3.54, 6 Sm 3.56-3.57
Tm 0.0842 0.4186 0.2506  3 Sm 3.53-3.54, 2 Tb 3.54-3.55, 1 La 3.55, 6 Tm 3.56-3.58
Tm 0.2504 0.2504 0.7493  3 Sm 3.53-3.54, 2 Tb 3.55, 1 La 3.55, 6 Tm 3.56-3.58
Tm 0.4186 0.0842 0.2506  3 Sm 3.53-3.54, 2 Tb 3.54-3.55, 1 La 3.55, 6 Tm 3.56-3.58
Tm 0.5814 0.9158 0.7494  3 Sm 3.53-3.54, 2 Tb 3.54-3.55, 1 La 3.55, 6 Tm 3.56-3.58
Tm 0.7496 0.7496 0.2507  3 Sm 3.53-3.54, 2 Tb 3.55, 1 La 3.55, 6 Tm 3.56-3.58
Tm 0.9158 0.5814 0.7494  3 Sm 3.53-3.54, 2 Tb 3.54-3.55, 1 La 3.55, 6 Tm 3.56-3.58

Summary:
Fermi-level density of states = 14.044 states/eV/f.u.
ΔH_f (0 K) = 0.020 eV per atom
magnetic moment = 0.0 μB/f.u.
space-group type = C2/m



# La3Tb6Sm2Tm

A relaxed La3Tb6Sm2Tm crystal (PBE, the Alexandria database).

Unit cell a=6.2635 b=6.2635 c=11.9459 alpha=95.02 beta=95.02 gamma=120.02
With the nearest neighbours (Å) after each atom.
Element x y z (fractional)
La 0.0000 0.0000 0.0000  6 La 3.61-3.62, 6 Tb 3.65
La 0.3331 0.6669 0.0000  6 La 3.61-3.62, 6 Tb 3.65
La 0.6669 0.3331 0.0000  6 La 3.61-3.62, 6 Tb 3.65
Tb 0.0859 0.4184 0.2546  1 Tm 3.56, 2 Sm 3.56, 6 Tb 3.61-3.62, 3 La 3.65
Tb 0.2492 0.2492 0.7456  1 Tm 3.56, 2 Sm 3.56, 6 Tb 3.61-3.62, 3 La 3.65
Tb 0.4184 0.0859 0.2546  1 Tm 3.56, 2 Sm 3.56, 6 Tb 3.61-3.62, 3 La 3.65
Tb 0.5816 0.9141 0.7454  1 Tm 3.56, 2 Sm 3.56, 6 Tb 3.61-3.62, 3 La 3.65
Tb 0.7508 0.7508 0.2544  1 Tm 3.56, 2 Sm 3.56, 6 Tb 3.61-3.62, 3 La 3.65
Tb 0.9141 0.5816 0.7454  1 Tm 3.56, 2 Sm 3.56, 6 Tb 3.61-3.62, 3 La 3.65
Sm 0.1664 0.8336 0.5000  6 Tb 3.56, 3 Sm 3.61-3.62, 3 Tm 3.61-3.62
Sm 0.8336 0.1664 0.5000  6 Tb 3.56, 3 Sm 3.61-3.62, 3 Tm 3.61-3.62
Tm 0.5000 0.5000 0.5000  6 Tb 3.56, 6 Sm 3.61-3.62

Summary:
Fermi-level density of states = 16.630 states/eV/f.u.
ΔH_f (0 K) = 0.018 eV per atom
magnetic moment = 0.0 μB/f.u.
space-group type = C2/m



# La2TbSm6Tm3

A relaxed La2TbSm6Tm3 crystal (PBE, the Alexandria database).

Unit cell a=6.2585 b=6.2585 c=11.9397 alpha=95.02 beta=95.02 gamma=120.02
With the nearest neighbours (Å) after each atom.
Element x y z (fractional)
La 0.1666 0.8334 0.0000  3 La 3.61, 3 Tb 3.61, 6 Sm 3.66-3.67
La 0.8334 0.1666 0.0000  3 La 3.61, 3 Tb 3.61, 6 Sm 3.66-3.67
Tb 0.5000 0.5000 0.0000  6 La 3.61, 6 Sm 3.66
Sm 0.0823 0.4145 0.7439  3 Tm 3.54-3.55, 6 Sm 3.60-3.62, 1 Tb 3.66, 2 La 3.66-3.67
Sm 0.2533 0.2533 0.2562  3 Tm 3.54-3.55, 6 Sm 3.60-3.62, 1 Tb 3.66, 2 La 3.67
Sm 0.4145 0.0823 0.7439  3 Tm 3.54-3.55, 6 Sm 3.60-3.62, 1 Tb 3.66, 2 La 3.66-3.67
Sm 0.5855 0.9177 0.2561  3 Tm 3.54-3.55, 6 Sm 3.60-3.62, 1 Tb 3.66, 2 La 3.66-3.67
Sm 0.7467 0.7467 0.7438  3 Tm 3.54-3.55, 6 Sm 3.60-3.62, 1 Tb 3.66, 2 La 3.67
Sm 0.9177 0.5855 0.2561  3 Tm 3.54-3.55, 6 Sm 3.60-3.62, 1 Tb 3.66, 2 La 3.66-3.67
Tm 0.0000 0.0000 0.5000  6 Sm 3.54-3.55, 6 Tm 3.61-3.62
Tm 0.3337 0.6663 0.5000  6 Sm 3.54-3.55, 6 Tm 3.61-3.62
Tm 0.6663 0.3337 0.5000  6 Sm 3.54-3.55, 6 Tm 3.61-3.62

Summary:
Fermi-level density of states = 16.741 states/eV/f.u.
ΔH_f (0 K) = 0.024 eV per atom
magnetic moment = 0.0 μB/f.u.
space-group type = C2/m



# LaTb4Sm2Tm

A relaxed LaTb4Sm2Tm crystal (PBE, the Alexandria database).

Unit cell a=7.1738 b=7.1738 c=12.4229 alpha=106.58 beta=106.58 gamma=60.23
With the nearest neighbours (Å) after each atom.
Element x y z (fractional)
La 0.0000 0.5000 0.0000  2 Tm 3.59, 2 Sm 3.59, 2 La 3.60, 6 Tb 3.61-3.62
La 0.5000 0.0000 0.0000  2 Tm 3.59, 2 Sm 3.59, 2 La 3.60, 6 Tb 3.61-3.62
Tb 0.2487 0.2487 0.7470  3 Sm 3.56-3.62, 1 Tm 3.56, 6 Tb 3.59-3.60, 2 La 3.62
Tb 0.2487 0.7496 0.7486  2 Tm 3.58-3.60, 3 Sm 3.58-3.60, 6 Tb 3.58-3.61, 1 La 3.61
Tb 0.2504 0.7513 0.2514  2 Tm 3.58-3.60, 3 Sm 3.58-3.60, 6 Tb 3.58-3.61, 1 La 3.61
Tb 0.2507 0.2507 0.2520  3 Sm 3.57, 6 Tb 3.58-3.60, 2 La 3.61, 1 Tm 3.61
Tb 0.7493 0.7493 0.7480  3 Sm 3.57, 6 Tb 3.58-3.60, 2 La 3.61, 1 Tm 3.61
Tb 0.7496 0.2487 0.7486  2 Tm 3.58-3.60, 3 Sm 3.58-3.60, 6 Tb 3.58-3.61, 1 La 3.61
Tb 0.7513 0.2504 0.2514  2 Tm 3.58-3.60, 3 Sm 3.58-3.60, 6 Tb 3.58-3.61, 1 La 3.61
Tb 0.7513 0.7513 0.2530  3 Sm 3.56-3.62, 1 Tm 3.56, 6 Tb 3.59-3.60, 2 La 3.62
Sm 0.0000 0.5000 0.5000  6 Tb 3.56-3.58, 2 Tm 3.59, 4 Sm 3.59-3.60
Sm 0.5000 0.0000 0.5000  6 Tb 3.56-3.58, 2 Tm 3.59, 4 Sm 3.59-3.60
Sm 0.5000 0.5000 0.0000  4 La 3.59, 2 Tm 3.60, 6 Tb 3.60-3.62
Sm 0.5000 0.5000 0.5000  6 Tb 3.57-3.58, 4 Sm 3.59, 2 Tm 3.60
Tm 0.0000 0.0000 0.0000  4 La 3.59, 2 Sm 3.60, 6 Tb 3.60-3.61
Tm 0.0000 0.0000 0.5000  6 Tb 3.56-3.58, 6 Sm 3.59-3.60

Summary:
Fermi-level density of states = 10.941 states/eV/f.u.
ΔH_f (0 K) = 0.016 eV per atom
magnetic moment = 0.0 μB/f.u.
space-group type = C2/m



# LaTb4SmTm2

A relaxed LaTb4SmTm2 crystal (PBE, the Alexandria database).

Unit cell a=7.1531 b=7.1513 c=10.0995 alpha=90.00 beta=90.05 gamma=90.00
With the nearest neighbours (Å) after each atom.
Element x y z (fractional)
La 0.0000 0.0000 0.0000  2 Tm 3.58, 2 La 3.58, 8 Tb 3.61
La 0.5000 0.0000 0.0000  2 Sm 3.58, 2 La 3.58, 8 Tb 3.62
Tb 0.2481 0.2530 0.2543  4 Tm 3.53-3.59, 4 Tb 3.53-3.62, 2 Sm 3.56-3.60, 2 La 3.61-3.62
Tb 0.2481 0.7470 0.2543  4 Tm 3.53-3.59, 4 Tb 3.53-3.62, 2 Sm 3.56-3.60, 2 La 3.61-3.62
Tb 0.2487 0.2531 0.7457  4 Tm 3.53-3.59, 4 Tb 3.53-3.62, 2 Sm 3.56-3.60, 2 La 3.61-3.62
Tb 0.2487 0.7469 0.7457  4 Tm 3.53-3.59, 4 Tb 3.53-3.62, 2 Sm 3.56-3.60, 2 La 3.61-3.62
Tb 0.7513 0.2531 0.2543  4 Tm 3.53-3.59, 4 Tb 3.53-3.62, 2 Sm 3.56-3.60, 2 La 3.61-3.62
Tb 0.7513 0.7469 0.2543  4 Tm 3.53-3.59, 4 Tb 3.53-3.62, 2 Sm 3.56-3.60, 2 La 3.61-3.62
Tb 0.7519 0.2530 0.7457  4 Tm 3.53-3.59, 4 Tb 3.53-3.62, 2 Sm 3.56-3.60, 2 La 3.61-3.62
Tb 0.7519 0.7470 0.7457  4 Tm 3.53-3.59, 4 Tb 3.53-3.62, 2 Sm 3.56-3.60, 2 La 3.61-3.62
Sm 0.5000 0.0000 0.5000  8 Tb 3.56, 4 Tm 3.58
Sm 0.5000 0.5000 0.0000  2 La 3.58, 2 Tm 3.58, 8 Tb 3.60
Tm 0.0000 0.0000 0.5000  8 Tb 3.55, 2 Tm 3.58, 2 Sm 3.58
Tm 0.0000 0.5000 0.0000  2 La 3.58, 2 Sm 3.58, 8 Tb 3.59
Tm 0.0000 0.5000 0.5000  8 Tb 3.53, 4 Tm 3.58
Tm 0.5000 0.5000 0.5000  8 Tb 3.54, 2 Sm 3.58, 2 Tm 3.58

Summary:
Fermi-level density of states = 10.684 states/eV/f.u.
ΔH_f (0 K) = 0.021 eV per atom
magnetic moment = 0.0 μB/f.u.
space-group type = P2/m



# La2Tb4SmTm

A relaxed La2Tb4SmTm crystal (PBE, the Alexandria database).

Unit cell a=9.5642 b=9.5642 c=6.8337 alpha=110.92 beta=110.92 gamma=88.32
With the nearest neighbours (Å) after each atom.
Element x y z (fractional)
La 0.0000 0.0000 0.0000  2 La 3.42, 6 Tb 3.42-3.50
La 0.0000 0.0000 0.5000  2 La 3.42, 6 Tb 3.42-3.50
La 0.0000 0.5000 0.0000  6 Tb 3.34-3.44, 2 Sm 3.42
La 0.5000 0.0000 0.5000  6 Tb 3.34-3.44, 2 Sm 3.42
Tb 0.2561 0.2565 0.5069  1 Sm 3.33, 3 La 3.34-3.50, 2 Tm 3.36-3.37, 2 Tb 3.42
Tb 0.2561 0.7427 0.5009  1 Tm 3.24, 2 Tb 3.40-3.44, 2 Sm 3.42-3.43, 3 La 3.42-3.44
Tb 0.2565 0.2561 0.0069  1 Sm 3.33, 3 La 3.34-3.50, 2 Tm 3.36-3.37, 2 Tb 3.42
Tb 0.2573 0.7439 0.9991  1 Tm 3.24, 2 Tb 3.40-3.44, 2 Sm 3.42-3.43, 3 La 3.42-3.44
Tb 0.7427 0.2561 0.0009  1 Tm 3.24, 2 Tb 3.40-3.44, 2 Sm 3.42-3.43, 3 La 3.42-3.44
Tb 0.7435 0.7439 0.9931  1 Sm 3.33, 3 La 3.34-3.50, 2 Tm 3.36-3.37, 2 Tb 3.42
Tb 0.7439 0.2573 0.4991  1 Tm 3.24, 2 Tb 3.40-3.44, 2 Sm 3.42-3.43, 3 La 3.42-3.44
Tb 0.7439 0.7435 0.4931  1 Sm 3.33, 3 La 3.34-3.50, 2 Tm 3.36-3.37, 2 Tb 3.42
Sm 0.0000 0.5000 0.5000  6 Tb 3.33-3.43, 2 La 3.42
Sm 0.5000 0.0000 0.0000  6 Tb 3.33-3.43, 2 La 3.42
Tm 0.5000 0.5000 0.0000  6 Tb 3.24-3.37, 2 Tm 3.42
Tm 0.5000 0.5000 0.5000  6 Tb 3.24-3.37, 2 Tm 3.42

Summary:
Fermi-level density of states = 19.718 states/eV/f.u.
ΔH_f (0 K) = 0.395 eV per atom
magnetic moment = 0.0 μB/f.u.
space-group type = C2/c



# La2Tb5SmTm

A relaxed La2Tb5SmTm crystal (PBE, the Alexandria database).

Unit cell a=10.3300 b=10.3300 c=10.7659 alpha=90.00 beta=90.00 gamma=148.11
With the nearest neighbours (Å) after each atom.
Element x y z (fractional)
La 0.1141 0.8859 0.5000  7 Tb 3.43-3.68, 1 Tm 3.46, 2 Sm 3.79
La 0.1160 0.8840 0.0849  8 Tb 3.27-3.58
La 0.8840 0.1160 0.5849  8 Tb 3.27-3.58
La 0.8859 0.1141 0.0000  7 Tb 3.43-3.68, 1 Tm 3.46, 2 Sm 3.79
Tb 0.0159 0.9841 0.7900  2 Sm 3.23, 2 La 3.43
Tb 0.2806 0.7194 0.0799  1 Sm 3.09, 1 La 3.27, 2 Tb 3.43
Tb 0.2979 0.7021 0.4743  4 Tb 3.43-3.79, 1 Sm 3.51, 3 La 3.52-3.66, 3 Tm 3.53-3.81
Tb 0.3850 0.6150 0.7878  6 Tb 3.56-3.85, 4 La 3.58-3.64, 1 Tm 3.66
Tb 0.4810 0.5190 0.5072  2 Sm 3.17-3.29, 2 La 3.53
Tb 0.5190 0.4810 0.0072  2 Sm 3.17-3.29, 2 La 3.53
Tb 0.6150 0.3850 0.2878  6 Tb 3.56-3.85, 4 La 3.58-3.64, 1 Tm 3.66
Tb 0.7021 0.2979 0.9743  4 Tb 3.43-3.79, 1 Sm 3.51, 3 La 3.52-3.66, 3 Tm 3.53-3.81
Tb 0.7194 0.2806 0.5799  1 Sm 3.09, 1 La 3.27, 2 Tb 3.43
Tb 0.9841 0.0159 0.2900  2 Sm 3.23, 2 La 3.43
Sm 0.4137 0.5863 0.2279  5 Tb 3.09-3.29
Sm 0.5863 0.4137 0.7279  5 Tb 3.09-3.29
Tm 0.2009 0.7991 0.7791  2 La 3.46-3.70, 8 Tb 3.53-3.81, 2 Sm 3.68
Tm 0.7991 0.2009 0.2791  2 La 3.46-3.70, 8 Tb 3.53-3.81, 2 Sm 3.68

Summary:
Fermi-level density of states = 12.382 states/eV/f.u.
ΔH_f (0 K) = 0.138 eV per atom
magnetic moment = 0.0 μB/f.u.
space-group type = Cmc2_1



# LaTbSm2Tm2

A relaxed LaTbSm2Tm2 crystal (PBE, the Alexandria database).

Unit cell a=6.9773 b=16.2245 c=3.5399 alpha=90.00 beta=90.00 gamma=90.00
With the nearest neighbours (Å) after each atom.
Element x y z (fractional)
La 0.0000 0.0000 0.0000  2 Tb 3.49, 4 Tm 3.52, 2 La 3.54, 4 Sm 3.62
La 0.5000 0.5000 0.5000  2 Tb 3.49, 4 Tm 3.52, 2 La 3.54, 4 Sm 3.62
Tb 0.0000 0.5000 0.5000  2 La 3.49, 4 Tm 3.53, 2 Tb 3.54, 4 Sm 3.60
Tb 0.5000 0.0000 0.0000  2 La 3.49, 4 Tm 3.53, 2 Tb 3.54, 4 Sm 3.60
Sm 0.2473 0.3389 0.0000  4 Tm 3.48-3.51, 2 Sm 3.54, 2 Tb 3.60, 2 La 3.62
Sm 0.2527 0.8389 0.5000  4 Tm 3.48-3.51, 2 Sm 3.54, 2 Tb 3.60, 2 La 3.62
Sm 0.7473 0.1611 0.5000  4 Tm 3.48-3.51, 2 Sm 3.54, 2 Tb 3.60, 2 La 3.62
Sm 0.7527 0.6611 0.0000  4 Tm 3.48-3.51, 2 Sm 3.54, 2 Tb 3.60, 2 La 3.62
Tm 0.2494 0.1541 0.5000  4 Sm 3.48-3.51, 2 La 3.52, 2 Tb 3.53, 2 Tm 3.54
Tm 0.2506 0.6541 0.0000  4 Sm 3.48-3.51, 2 La 3.52, 2 Tb 3.53, 2 Tm 3.54
Tm 0.7494 0.3459 0.0000  4 Sm 3.48-3.51, 2 La 3.52, 2 Tb 3.53, 2 Tm 3.54
Tm 0.7506 0.8459 0.5000  4 Sm 3.48-3.51, 2 La 3.52, 2 Tb 3.53, 2 Tm 3.54

Summary:
Fermi-level density of states = 9.298 states/eV/f.u.
ΔH_f (0 K) = 0.161 eV per atom
magnetic moment = 0.0 μB/f.u.
space-group type = Pnnm